No. 1
# TiBeIN2

A relaxed TiBeIN2 crystal (PBE-GGA, the Alexandria database).

extended XYZ file:
```
5
Lattice="3.8497 0.0000 0.0000 0.0000 3.8497 0.0000 0.0000 0.0000 5.9697" Properties=species:S:1:pos:R:3 pbc="T T T"
Ti 0.0000 0.0000 0.0000
Be 1.9248 1.9248 2.9849
I 0.0000 0.0000 2.9849
N 0.0000 1.9248 0.0000
N 1.9248 0.0000 0.0000
```

Values from the calculation:
Distance to the lowest polymorph of the same formula   0 meV per atom
Density of states at the Fermi level   2.203 states/eV per cell
Space-group type   P4/mmm, No. 123
Formation energy (no corrections)   0.591 eV/atom
Calculated total energy   -26.87 eV per cell
M_tot   0.00 μB/f.u.



No. 2
# CsLaAg2I6

A relaxed CsLaAg2I6 crystal (PBE-GGA, the Alexandria database).

extended XYZ file:
```
20
Lattice="7.9960 -6.9264 0.0000 7.9960 6.9264 0.0000 -3.8163 0.0000 9.2517" Properties=species:S:1:pos:R:3 pbc="T T T"
Cs 5.1338 4.3344 6.9388
Cs 7.0419 -4.3344 2.3129
La 7.0419 3.5026 2.3129
La 5.1338 -3.5026 6.9388
Ag 3.9978 2.1536 0.8420
Ag 2.0897 -2.1536 5.4678
Ag 10.0860 2.1536 3.7839
Ag 8.1778 -2.1536 8.4097
I -2.1001 1.0344 9.0073
I 3.9779 3.5689 3.2418
I -0.1919 -1.0344 4.3815
I 2.7128 1.4553 9.2167
I 10.1059 3.5689 1.3841
I 7.5547 1.4553 4.6608
I 4.6210 -1.4553 4.5909
I 2.0697 -3.5689 7.8676
I 9.4628 -1.4553 0.0350
I 12.3676 1.0344 4.8702
I 8.1978 -3.5689 6.0099
I 14.2757 -1.0344 0.2443
```

Values from the calculation:
Density of states at the Fermi level   0.000 states/eV per cell
Space-group type   C2/c, No. 15
Formation energy (no corrections)   -1.016 eV/atom
Calculated total energy   -61.90 eV per cell
M_tot   0.00 μB/f.u.